VASP calculation (GGA-PBEsol) on a relaxed structure of RhO2F2.

a b c (Å): 3.6800 3.6800 3.9451
angles (deg): 90.00 90.00 90.00
Site moments in Bohr magnetons follow the coordinates.
Fractional coordinates of all 5 atoms:
Rh1 0.0000 0.0000 0.0000  -0.03
O1 0.0000 0.5000 0.0000  0.01
O2 0.5000 0.0000 0.0000  0.01
F1 0.5000 0.5000 0.5000  0.15
F2 0.0000 0.0000 0.5000  0.01

- raw formation energy (eV per atom) = -0.428

VASP calculation (GGA-PBEsol) on a relaxed structure of RuRhOF2.

a b c (Å): 3.6605 4.1724 4.1724
angles (deg): 90.00 90.00 90.00
Site moments in Bohr magnetons follow the coordinates.
Fractional coordinates of all 5 atoms:
Ru1 0.0000 0.0000 0.0000  -0.04
Rh1 0.5000 0.5000 0.5000  1.65
O1 0.5000 0.0000 0.0000  0.03
F1 0.0000 0.0000 0.5000  0.03
F2 0.0000 0.5000 0.0000  0.03

- raw formation energy (eV per atom) = -0.191

VASP calculation (GGA-PBEsol) on a relaxed structure of TiRhOF2.

a b c (Å): 3.8349 4.1520 4.1520
angles (deg): 90.00 90.00 90.00
Site moments in Bohr magnetons follow the coordinates.
Fractional coordinates of all 5 atoms:
F1 0.0000 0.0000 0.5000  0.01
F2 0.0000 0.5000 0.0000  0.01
Rh1 0.0000 0.0000 0.0000  -0.51
O1 0.5000 0.0000 0.0000  -0.21
Ti1 0.5000 0.5000 0.5000  1.90

- raw formation energy (eV per atom) = -0.709

VASP calculation (GGA-PBEsol) on a relaxed structure of RuO2F2.

a b c (Å): 3.4707 3.8547 3.8547
angles (deg): 90.00 90.00 90.00
Site moments in Bohr magnetons follow the coordinates.
Fractional coordinates of all 5 atoms:
Ru1 0.5000 0.5000 0.5000  3.43
O1 0.0000 0.0000 0.0000  0.05
O2 0.5000 0.0000 0.0000  0.31
F1 0.0000 0.0000 0.5000  0.12
F2 0.0000 0.5000 0.0000  0.12

- raw formation energy (eV per atom) = 0.774

VASP calculation (GGA-PBEsol) on a relaxed structure of RuOF4.

a b c (Å): 6.1966 6.3359 8.5383
angles (deg): 90.00 90.00 91.07
Fractional coordinates of all 24 atoms:
Ru1 0.0432 0.8556 0.8210
Ru2 0.5432 0.3556 0.6790
Ru3 0.4568 0.6444 0.3210
Ru4 0.9568 0.1444 0.1790
O1 0.9640 0.1321 0.3678
O2 0.5360 0.3679 0.8678
O3 0.4640 0.6321 0.1322
O4 0.0360 0.8679 0.6322
F1 0.0422 0.8736 0.1076
F2 0.8697 0.4109 0.1248
F3 0.3206 0.9382 0.8777
F4 0.6303 0.0891 0.6248
F5 0.8206 0.4382 0.6223
F6 0.1303 0.5891 0.8752
F7 0.2705 0.2627 0.6181
F8 0.5422 0.3736 0.3924
F9 0.3697 0.9109 0.3752
F10 0.9578 0.1264 0.8924
F11 0.7295 0.7373 0.3819
F12 0.4578 0.6264 0.6076
F13 0.6794 0.0618 0.1223
F14 0.1794 0.5618 0.3777
F15 0.7705 0.7627 0.8819
F16 0.2295 0.2373 0.1181

- raw formation energy (eV per atom) = -1.420

VASP calculation (GGA-PBEsol) on a relaxed structure of TaRuOF2.

a b c (Å): 3.9061 4.1161 4.1161
angles (deg): 90.00 90.00 90.00
Site moments in Bohr magnetons follow the coordinates.
Fractional coordinates of all 5 atoms:
Ru1 0.5000 0.5000 0.5000  2.08
F1 0.0000 0.0000 0.5000  -0.01
F2 0.0000 0.5000 0.0000  -0.01
O1 0.5000 0.0000 0.0000  0.06
Ta1 0.0000 0.0000 0.0000  -0.54

- raw formation energy (eV per atom) = -0.846

VASP calculation (GGA-PBEsol) on a relaxed structure of TeRu2OF.

a b c (Å): 3.9742 3.9742 4.4585
angles (deg): 90.00 90.00 90.00
Site moments in Bohr magnetons follow the coordinates.
Fractional coordinates of all 5 atoms:
Ru1 0.0000 0.5000 0.0000  0.69
Ru2 0.5000 0.0000 0.0000  0.69
Te1 0.5000 0.5000 0.5000  -0.01
O1 0.0000 0.0000 0.5000  0.46
F1 0.0000 0.0000 0.0000  0.02

- raw formation energy (eV per atom) = 0.788

VASP calculation (GGA-PBEsol) on a relaxed structure of TlRuO2F.

a b c (Å): 4.2019 4.2019 4.3369
angles (deg): 90.00 90.00 90.00
Site moments in Bohr magnetons follow the coordinates.
Fractional coordinates of all 5 atoms:
Ru1 0.5000 0.5000 0.5000  3.18
Tl1 0.0000 0.0000 0.0000  0.00
O1 0.0000 0.5000 0.0000  0.19
O2 0.5000 0.0000 0.0000  0.19
F1 0.0000 0.0000 0.5000  0.04

- raw formation energy (eV per atom) = 0.375